Record 1
{"formula": "SrHgBr2", "functional": "PBE", "state": "optimized geometry", "cell": [[4.589, -0.015, 0.019], [2.313, 3.964, 0.019], [2.209, 1.264, 10.053]], "species": ["Sr", "Hg", "Br", "Br"], "frac_coords": [[0.250, 0.250, 0.250], [0.750, 0.750, 0.750], [0.968, 0.968, 0.093], [0.532, 0.532, 0.407]], "energy_ev_per_atom": -2.883, "m_tot_mub_per_cell": 0.0, "crystal_system": "monoclinic", "polymorph_energy_ev_per_atom": 0.0000, "raw_formation_energy_ev_per_atom": -1.551}



Record 2
{"formula": "SrHg2Br", "functional": "PBE", "state": "optimized geometry", "cell": [[9.421, 0.000, 0.000], [0.000, 9.421, 0.000], [4.711, 4.711, 3.064]], "species": ["Sr", "Sr", "Hg", "Hg", "Hg", "Hg", "Br", "Br"], "frac_coords": [[0.000, 0.000, 0.000], [0.750, 0.250, 0.500], [0.633, 0.125, 0.250], [0.117, 0.625, 0.250], [0.375, 0.367, 0.750], [0.875, 0.883, 0.750], [0.500, 0.500, 0.000], [0.250, 0.750, 0.500]], "energy_ev_per_atom": -1.730, "m_tot_mub_per_cell": 0.0, "crystal_system": "tetragonal", "polymorph_energy_ev_per_atom": 0.0805, "raw_formation_energy_ev_per_atom": -0.741}



Record 3
{"formula": "SrHgBr", "functional": "PBE", "state": "optimized geometry", "cell": [[7.347, -0.001, 0.001], [6.278, 3.834, 0.046], [1.069, 0.288, 3.825]], "species": ["Sr", "Hg", "Br"], "frac_coords": [[0.343, 0.343, 0.657], [0.699, 0.699, 0.301], [0.958, 0.958, 0.042]], "energy_ev_per_atom": -2.232, "m_tot_mub_per_cell": 0.0, "crystal_system": "orthorhombic", "polymorph_energy_ev_per_atom": 0.0644, "raw_formation_energy_ev_per_atom": -1.014}



Record 4
{"formula": "SrHg3Br", "functional": "PBE", "state": "optimized geometry", "cell": [[-5.960, 1.313, 2.010], [1.818, -1.046, 6.074], [1.568, 6.203, 0.599]], "species": ["Sr", "Hg", "Hg", "Hg", "Br"], "frac_coords": [[0.000, 0.000, 0.000], [0.000, 0.500, 0.000], [0.000, 0.000, 0.500], [0.500, 0.000, 0.000], [0.500, 0.500, 0.500]], "energy_ev_per_atom": -0.976, "m_tot_mub_per_cell": 0.0, "crystal_system": "cubic", "polymorph_energy_ev_per_atom": 0.0000, "raw_formation_energy_ev_per_atom": -0.124}



Record 5
{"formula": "SrHgBr2", "functional": "PBE", "state": "optimized geometry", "cell": [[-0.361, -5.915, 10.105], [1.981, -2.185, 11.337], [-2.590, -2.085, 11.233]], "species": ["Sr", "Hg", "Br", "Br"], "frac_coords": [[0.500, 0.500, 0.500], [0.000, 0.000, 0.000], [0.880, 0.880, 0.880], [0.120, 0.120, 0.120]], "energy_ev_per_atom": -2.882, "m_tot_mub_per_cell": 0.0, "crystal_system": "trigonal", "polymorph_energy_ev_per_atom": 0.0013, "raw_formation_energy_ev_per_atom": -1.550}



Record 6
{"formula": "Sr2Hg2Br", "functional": "PBE", "state": "optimized geometry", "cell": [[-2.885, 0.074, -3.257], [-0.495, -4.310, 0.340], [-8.537, -0.850, 4.636]], "species": ["Sr", "Sr", "Hg", "Hg", "Br"], "frac_coords": [[0.386, 0.386, 0.228], [0.614, 0.614, 0.772], [0.750, 0.250, 0.500], [0.250, 0.750, 0.500], [0.000, 0.000, 0.000]], "energy_ev_per_atom": -1.815, "m_tot_mub_per_cell": 0.0, "crystal_system": "tetragonal", "polymorph_energy_ev_per_atom": 0.1366, "raw_formation_energy_ev_per_atom": -0.687}



Record 7
{"formula": "SrHg2Br", "functional": "PBE", "state": "optimized geometry", "cell": [[4.423, 0.000, 0.000], [0.000, 4.436, 0.024], [0.000, 2.332, 6.552]], "species": ["Sr", "Hg", "Hg", "Br"], "frac_coords": [[0.000, 0.280, 0.555], [0.000, 0.009, 0.123], [0.500, 0.485, 0.166], [0.500, 0.726, 0.656]], "energy_ev_per_atom": -1.811, "m_tot_mub_per_cell": 0.0, "crystal_system": "monoclinic", "polymorph_energy_ev_per_atom": 0.0000, "raw_formation_energy_ev_per_atom": -0.821}



Record 8
{"formula": "SrHg2Br2", "functional": "PBE", "state": "optimized geometry", "cell": [[7.975, 0.000, 0.000], [0.000, 7.975, 0.000], [0.000, 0.000, 6.660]], "species": ["Sr", "Sr", "Hg", "Hg", "Hg", "Hg", "Br", "Br", "Br", "Br"], "frac_coords": [[0.000, 0.000, 0.000], [0.500, 0.500, 0.000], [0.148, 0.648, 0.500], [0.648, 0.852, 0.500], [0.852, 0.352, 0.500], [0.352, 0.148, 0.500], [0.329, 0.829, 0.000], [0.829, 0.671, 0.000], [0.671, 0.171, 0.000], [0.171, 0.329, 0.000]], "energy_ev_per_atom": -2.178, "m_tot_mub_per_cell": 0.0, "crystal_system": "tetragonal", "polymorph_energy_ev_per_atom": 0.0000, "raw_formation_energy_ev_per_atom": -1.052}



> What is the formula in the seventh record?

SrHg2Br